# 1
DFT (PBE) results for a geometry-optimized Pr2Sm2CI2Br2Cl structure.

Output
Uncorrected energy ... -4.993 eV/atom
Magnetic moment ... 0.08 Bohr magnetons per cell
Calculated volume ... 30.86 Å³/atom

Unit cell a=9.631 b=9.631 c=8.343 alpha=100.48 beta=100.48 gamma=23.94
Fractional coordinates of all 10 atoms:
Pr (0.997, 0.997, 0.212)
Pr (0.003, 0.003, 0.788)
I (0.167, 0.167, 0.350)
I (0.833, 0.833, 0.650)
Br (0.830, 0.830, 0.172)
Br (0.170, 0.170, 0.828)
C (0.500, 0.500, 0.000)
Sm (0.634, 0.634, 0.062)
Sm (0.366, 0.366, 0.938)
Cl (0.500, 0.500, 0.500)

# 2
DFT (PBE) results for a geometry-optimized TbHoC2I2 structure.

Output
Uncorrected energy ... -5.980 eV/atom
Magnetic moment ... 0.00 Bohr magnetons per cell
Calculated volume ... 26.71 Å³/atom

Unit cell a=4.146 b=4.146 c=11.254 alpha=92.98 beta=92.98 gamma=56.07
Fractional coordinates of all 6 atoms:
Tb (0.145, 0.145, 0.622)
C (0.578, 0.578, 0.471)
C (0.422, 0.422, 0.526)
I (0.824, 0.824, 0.810)
I (0.176, 0.176, 0.192)
Ho (0.854, 0.854, 0.378)

# 3
DFT (PBE) results for a geometry-optimized Li2HfZrSi2Ir2 structure.

Output
Uncorrected energy ... -7.165 eV/atom
Magnetic moment ... 0.01 Bohr magnetons per cell
Calculated volume ... 14.80 Å³/atom

Unit cell a=4.375 b=4.375 c=6.187 alpha=90.00 beta=90.00 gamma=90.00
Fractional coordinates of all 8 atoms:
Si (0.000, 0.000, 0.500)
Si (0.500, 0.500, 0.000)
Hf (0.000, 0.000, 0.000)
Li (0.500, 0.000, 0.250)
Li (0.000, 0.500, 0.750)
Zr (0.500, 0.500, 0.500)
Ir (0.500, 0.000, 0.753)
Ir (0.000, 0.500, 0.247)

# 4
DFT (PBE) results for a geometry-optimized Pm3Cd3Pt2 structure.

Output
Uncorrected energy ... -4.392 eV/atom
Magnetic moment ... 0.00 Bohr magnetons per cell
Calculated volume ... 24.63 Å³/atom

Unit cell a=7.722 b=7.722 c=3.816 alpha=90.00 beta=90.00 gamma=120.00
Fractional coordinates of all 8 atoms:
Cd (0.773, 0.000, 0.000)
Cd (0.000, 0.773, 0.000)
Cd (0.227, 0.227, 0.000)
Pm (0.000, 0.420, 0.500)
Pm (0.420, 0.000, 0.500)
Pm (0.580, 0.580, 0.500)
Pt (0.667, 0.333, 0.000)
Pt (0.333, 0.667, 0.000)

# 5
DFT (PBE) results for a geometry-optimized Cd2SnOs structure.

Output
Uncorrected energy ... -3.700 eV/atom
Magnetic moment ... 0.01 Bohr magnetons per cell
Calculated volume ... 19.26 Å³/atom

Unit cell a=4.776 b=4.776 c=4.776 alpha=60.00 beta=60.00 gamma=60.00
Fractional coordinates of all 4 atoms:
Os (0.250, 0.250, 0.250)
Cd (0.750, 0.750, 0.750)
Cd (0.000, 0.000, 0.000)
Sn (0.500, 0.500, 0.500)

# 6
DFT (PBE) results for a geometry-optimized LaZrTe structure.

Output
Uncorrected energy ... -5.190 eV/atom
Magnetic moment ... 3.86 Bohr magnetons per cell
Calculated volume ... 35.83 Å³/atom

Unit cell a=5.337 b=5.337 c=5.337 alpha=60.00 beta=60.00 gamma=60.00
Fractional coordinates of all 3 atoms:
Zr (0.750, 0.750, 0.750)
Te (0.250, 0.250, 0.250)
La (0.000, 0.000, 0.000)

# 7
DFT (PBE) results for a geometry-optimized Nb4CuSnN2 structure.

Output
Uncorrected energy ... -8.549 eV/atom
Magnetic moment ... 0.00 Bohr magnetons per cell
Calculated volume ... 14.90 Å³/atom

Unit cell a=3.210 b=3.210 c=13.353 alpha=90.00 beta=90.00 gamma=120.00
Fractional coordinates of all 8 atoms:
Nb (0.000, 0.000, 0.324)
Nb (0.667, 0.333, 0.153)
Nb (0.667, 0.333, 0.847)
Nb (0.000, 0.000, 0.676)
N (0.333, 0.667, 0.237)
N (0.333, 0.667, 0.763)
Sn (0.667, 0.333, 0.500)
Cu (0.000, 0.000, 0.000)

# 8
DFT (PBE) results for a geometry-optimized YCuBiPt structure.

Output
Uncorrected energy ... -5.418 eV/atom
Magnetic moment ... 0.00 Bohr magnetons per cell
Calculated volume ... 20.84 Å³/atom

Unit cell a=4.903 b=4.903 c=4.903 alpha=60.00 beta=60.00 gamma=60.00
Fractional coordinates of all 4 atoms:
Cu (0.750, 0.750, 0.750)
Pt (0.500, 0.500, 0.500)
Bi (0.000, 0.000, 0.000)
Y (0.250, 0.250, 0.250)

# 9
DFT (PBE) results for a geometry-optimized YMg2ScCd2Hg2 structure.

Output
Uncorrected energy ... -2.645 eV/atom
Magnetic moment ... 0.01 Bohr magnetons per cell
Calculated volume ... 22.17 Å³/atom

Unit cell a=4.997 b=4.997 c=7.101 alpha=90.00 beta=90.00 gamma=90.00
Fractional coordinates of all 8 atoms:
Hg (0.000, 0.500, 0.761)
Hg (0.500, 0.000, 0.239)
Sc (0.000, 0.000, 0.000)
Mg (0.500, 0.500, 0.000)
Mg (0.000, 0.000, 0.500)
Cd (0.500, 0.000, 0.761)
Cd (0.000, 0.500, 0.239)
Y (0.500, 0.500, 0.500)

# 10
DFT (PBE) results for a geometry-optimized In2FeBiS6 structure.

Output
Uncorrected energy ... -4.632 eV/atom
Magnetic moment ... 9.91 Bohr magnetons per cell
Calculated volume ... 24.09 Å³/atom

Unit cell a=11.320 b=3.856 c=12.399 alpha=90.00 beta=117.11 gamma=90.00
Site moments in Bohr magnetons follow the coordinates.
Fractional coordinates of all 20 atoms:
S (0.265, 0.750, 0.277)  0.02
S (0.414, 0.750, 0.069)  0.03
S (0.924, 0.750, 0.572)  0.17
S (0.735, 0.250, 0.723)  0.02
S (0.962, 0.250, 0.104)  0.03
S (0.224, 0.250, 0.764)  0.16
S (0.390, 0.750, 0.630)  0.25
S (0.776, 0.750, 0.236)  0.16
S (0.586, 0.250, 0.931)  0.03
S (0.038, 0.750, 0.896)  0.03
S (0.076, 0.250, 0.428)  0.17
S (0.610, 0.250, 0.370)  0.25
Bi (0.203, 0.250, 0.111)  0.00
Bi (0.797, 0.750, 0.889)  0.00
In (0.967, 0.250, 0.723)  0.03
In (0.407, 0.750, 0.855)  0.02
In (0.033, 0.750, 0.277)  0.03
In (0.593, 0.250, 0.145)  0.02
Fe (0.266, 0.250, 0.597)  3.56
Fe (0.734, 0.750, 0.403)  3.56

# 11
DFT (PBE) results for a geometry-optimized Hf2InBiPt2 structure.

Output
Uncorrected energy ... -7.238 eV/atom
Magnetic moment ... 0.00 Bohr magnetons per cell
Calculated volume ... 22.13 Å³/atom

Unit cell a=6.424 b=6.424 c=7.877 alpha=65.93 beta=65.93 gamma=90.00
Fractional coordinates of all 12 atoms:
Bi (0.750, 0.250, 0.500)
Bi (0.500, 0.500, 0.000)
Pt (0.879, 0.875, 0.750)
Pt (0.371, 0.375, 0.750)
Pt (0.125, 0.629, 0.250)
Pt (0.625, 0.121, 0.250)
Hf (0.495, 0.995, 0.011)
Hf (0.245, 0.245, 0.511)
Hf (0.005, 0.505, 0.989)
Hf (0.755, 0.755, 0.489)
In (0.250, 0.750, 0.500)
In (0.000, 0.000, 0.000)

# 12
DFT (PBE) results for a geometry-optimized Tm5Tl4Pt structure.

Output
Uncorrected energy ... -4.291 eV/atom
Magnetic moment ... 0.07 Bohr magnetons per cell
Calculated volume ... 25.02 Å³/atom

Unit cell a=3.521 b=3.521 c=20.174 alpha=90.00 beta=90.00 gamma=90.00
Site moments in Bohr magnetons follow the coordinates.
Fractional coordinates of all 10 atoms:
Tm (0.500, 0.500, 0.500)  -0.17
Tm (0.500, 0.500, 0.919)  -0.01
Tm (0.500, 0.500, 0.081)  -0.01
Tm (0.500, 0.500, 0.709)  0.13
Tm (0.500, 0.500, 0.291)  0.13
Tl (0.000, 0.000, 0.811)  0.00
Tl (0.000, 0.000, 0.396)  0.00
Tl (0.000, 0.000, 0.604)  0.00
Tl (0.000, 0.000, 0.189)  0.00
Pt (0.000, 0.000, 0.000)  0.00

# 13
DFT (PBE) results for a geometry-optimized AuSe6Cl2 structure.

Output
Uncorrected energy ... -3.177 eV/atom
Calculated volume ... 29.58 Å³/atom

Unit cell a=4.655 b=8.944 c=12.995 alpha=90.00 beta=100.24 gamma=90.00
Fractional coordinates of all 18 atoms:
Se (0.819, 0.617, 0.350)
Se (0.010, 0.372, 0.356)
Se (0.990, 0.872, 0.144)
Se (0.831, 0.219, 0.007)
Se (0.169, 0.781, 0.993)
Se (0.181, 0.117, 0.150)
Se (0.819, 0.883, 0.850)
Se (0.831, 0.281, 0.507)
Se (0.169, 0.719, 0.493)
Se (0.010, 0.128, 0.856)
Se (0.990, 0.628, 0.644)
Se (0.181, 0.383, 0.650)
Cl (0.623, 0.537, 0.849)
Cl (0.623, 0.963, 0.349)
Cl (0.377, 0.037, 0.651)
Cl (0.377, 0.463, 0.151)
Au (0.000, 0.500, 0.000)
Au (0.000, 0.000, 0.500)

# 14
DFT (PBE) results for a geometry-optimized MoAsPb2 structure.

Output
Uncorrected energy ... -4.985 eV/atom
Magnetic moment ... 2.54 Bohr magnetons per cell
Calculated volume ... 23.32 Å³/atom

Unit cell a=5.090 b=5.090 c=5.090 alpha=60.00 beta=60.00 gamma=60.00
Site moments in Bohr magnetons follow the coordinates.
Fractional coordinates of all 4 atoms:
Pb (0.750, 0.750, 0.750)  -0.01
Pb (0.500, 0.500, 0.500)  -0.02
As (0.250, 0.250, 0.250)  -0.05
Mo (0.000, 0.000, 0.000)  2.21

# 15
DFT (PBE) results for a geometry-optimized PmCuAs structure.

Output
Uncorrected energy ... -4.673 eV/atom
Magnetic moment ... 0.00 Bohr magnetons per cell
Calculated volume ... 25.21 Å³/atom

Unit cell a=4.747 b=4.747 c=4.747 alpha=60.00 beta=60.00 gamma=60.00
Fractional coordinates of all 3 atoms:
Pm (0.250, 0.250, 0.250)
As (0.500, 0.500, 0.500)
Cu (0.000, 0.000, 0.000)

# 16
DFT (PBE) results for a geometry-optimized MgCuSn2As4 structure.

Output
Uncorrected energy ... -4.119 eV/atom
Calculated volume ... 26.43 Å³/atom

Unit cell a=7.295 b=7.295 c=7.295 alpha=131.80 beta=131.80 gamma=70.55
Fractional coordinates of all 8 atoms:
Mg (0.250, 0.750, 0.500)
Cu (0.000, 0.000, 0.000)
As (0.889, 0.885, 0.539)
As (0.115, 0.654, 0.004)
As (0.346, 0.350, 0.461)
As (0.650, 0.111, 0.996)
Sn (0.750, 0.250, 0.500)
Sn (0.500, 0.500, 0.000)

# 17
DFT (PBE) results for a geometry-optimized NdAlNi structure.

Output
Uncorrected energy ... -4.586 eV/atom
Magnetic moment ... 0.01 Bohr magnetons per cell
Calculated volume ... 19.83 Å³/atom

Unit cell a=8.209 b=8.209 c=3.058 alpha=90.00 beta=90.00 gamma=120.00
Fractional coordinates of all 9 atoms:
Nd (0.303, 0.000, 0.000)
Nd (0.697, 0.697, 0.000)
Nd (0.000, 0.303, 0.000)
Al (0.000, 0.000, 0.500)
Al (0.333, 0.667, 0.000)
Al (0.667, 0.333, 0.000)
Ni (0.620, 0.000, 0.500)
Ni (0.000, 0.620, 0.500)
Ni (0.380, 0.380, 0.500)

# 18
DFT (PBE) results for a geometry-optimized InHg3GeS4 structure.

Output
Uncorrected energy ... -2.878 eV/atom
Calculated volume ... 26.13 Å³/atom

Unit cell a=6.377 b=7.221 c=10.217 alpha=90.00 beta=91.23 gamma=90.00
Fractional coordinates of all 18 atoms:
S (0.721, 0.750, 0.444)
S (0.279, 0.250, 0.556)
S (0.692, 0.485, 0.734)
S (0.308, 0.985, 0.266)
S (0.308, 0.515, 0.266)
S (0.782, 0.250, 0.116)
S (0.692, 0.015, 0.734)
S (0.218, 0.750, 0.884)
Hg (0.890, 0.250, 0.497)
Hg (0.246, 0.058, 0.005)
Hg (0.754, 0.942, 0.995)
Hg (0.754, 0.558, 0.995)
Hg (0.246, 0.442, 0.005)
Hg (0.110, 0.750, 0.503)
In (0.455, 0.750, 0.662)
In (0.545, 0.250, 0.338)
Ge (0.554, 0.750, 0.243)
Ge (0.446, 0.250, 0.757)

# 19
DFT (PBE) results for a geometry-optimized Nd2ZnO4 structure.

Output
Uncorrected energy ... -7.147 eV/atom
Magnetic moment ... 0.00 Bohr magnetons per cell
Calculated volume ... 15.82 Å³/atom

Unit cell a=7.116 b=7.116 c=10.043 alpha=119.26 beta=119.26 gamma=30.33
Fractional coordinates of all 14 atoms:
Zn (0.849, 0.849, 0.791)
Zn (0.151, 0.151, 0.209)
Nd (0.845, 0.845, 0.187)
Nd (0.155, 0.155, 0.813)
Nd (0.616, 0.616, 0.452)
Nd (0.384, 0.384, 0.548)
O (0.244, 0.244, 0.635)
O (0.952, 0.952, 0.723)
O (0.579, 0.579, 0.655)
O (0.421, 0.421, 0.345)
O (0.797, 0.797, 0.929)
O (0.203, 0.203, 0.071)
O (0.048, 0.048, 0.277)
O (0.756, 0.756, 0.365)

# 20
DFT (PBE) results for a geometry-optimized TbBiNO structure.

Output
Uncorrected energy ... -6.526 eV/atom
Magnetic moment ... 0.01 Bohr magnetons per cell
Calculated volume ... 16.11 Å³/atom

Unit cell a=5.082 b=5.082 c=4.990 alpha=90.00 beta=90.00 gamma=90.00
Fractional coordinates of all 8 atoms:
O (0.750, 0.250, 0.000)
O (0.250, 0.750, 0.000)
N (0.750, 0.750, 0.474)
N (0.250, 0.250, 0.526)
Bi (0.250, 0.250, 0.994)
Bi (0.750, 0.750, 0.006)
Tb (0.250, 0.750, 0.500)
Tb (0.750, 0.250, 0.500)